(1)
CrNiI2 | PBEsol | relaxed

Cell: 4.9056 4.9056 4.9056 Å, 60.00 60.00 60.00°
Last column: nearest neighbours and their distance in Å.
Atoms (fractional coordinates):
Ni (0.5000, 0.5000, 0.5000)  8 I 3.00
I (0.2500, 0.2500, 0.2500)  4 Cr 3.00, 4 Ni 3.00
I (0.7500, 0.7500, 0.7500)  4 Ni 3.00, 4 Cr 3.00
Cr (0.0000, 0.0000, 0.0000)  8 I 3.00

Properties
Formation energy from raw total energies (meV per atom): 707.3
Volume (A^3/atom): 20.9

***

(2)
CrNiI3 | PBEsol | relaxed

Cell: 5.3897 5.3897 5.3897 Å, 90.00 90.00 90.00°
Last column: nearest neighbours and their distance in Å.
Atoms (fractional coordinates):
I (0.5000, 0.0000, 0.0000)  2 Cr 2.69
I (0.0000, 0.0000, 0.5000)  2 Cr 2.69
I (0.0000, 0.5000, 0.0000)  2 Cr 2.69
Cr (0.0000, 0.0000, 0.0000)  6 I 2.69
Ni (0.5000, 0.5000, 0.5000)  12 I 3.81

Properties
Formation energy from raw total energies (meV per atom): 719.1
Volume (A^3/atom): 31.3

***

(3)
CrNi2WI | PBEsol | relaxed

Cell: 4.5322 4.5322 5.1373 Å, 90.00 90.00 90.00°
Last column: nearest neighbours and their distance in Å.
Atoms (fractional coordinates):
I (0.0000, 0.0000, 0.5000)  2 W 2.57
Cr (0.5000, 0.5000, 0.5000)  4 I 3.20, 8 Ni 3.43
Ni (0.0000, 0.5000, 0.0000)  2 W 2.27
Ni (0.5000, 0.0000, 0.0000)  2 W 2.27
W (0.0000, 0.0000, 0.0000)  4 Ni 2.27

Properties
Formation energy from raw total energies (meV per atom): 1631.4
Volume (A^3/atom): 21.1

***

(4)
CrIO2 | PBEsol | relaxed

Cell: 3.0024 3.0024 8.9464 Å, 80.34 80.34 60.00°
Last column: nearest neighbours and their distance in Å.
Atoms (fractional coordinates):
O (0.1329, 0.1329, 0.6013)  3 Cr 1.95
O (0.8671, 0.8671, 0.3987)  3 Cr 1.95
I (0.0000, 0.0000, 0.0000)  6 I 3.00
Cr (0.5000, 0.5000, 0.5000)  6 O 1.95

Properties
Formation energy from raw total energies (meV per atom): -1124.0
Volume (A^3/atom): 17.1

***

(5)
CrIO2 | PBEsol | relaxed

Cell: 4.1146 4.1146 4.1146 Å, 60.00 60.00 60.00°
Last column: nearest neighbours and their distance in Å.
Atoms (fractional coordinates):
O (0.2500, 0.2500, 0.2500)  4 Cr 2.52, 4 I 2.52
O (0.7500, 0.7500, 0.7500)  4 Cr 2.52, 4 I 2.52
I (0.5000, 0.5000, 0.5000)  8 O 2.52
Cr (0.0000, 0.0000, 0.0000)  8 O 2.52

Properties
Formation energy from raw total energies (meV per atom): 358.3
Volume (A^3/atom): 12.3

***

(6)
CrOsIO2 | PBEsol | relaxed

Cell: 3.6511 3.6511 5.8751 Å, 90.00 90.00 90.00°
Last column: nearest neighbours and their distance in Å.
Atoms (fractional coordinates):
I (0.0000, 0.0000, 0.5000)  4 Os 2.58
Cr (0.0000, 0.0000, 0.0000)  4 O 1.83
O (0.0000, 0.5000, 0.0000)  2 Cr 1.83
O (0.5000, 0.0000, 0.0000)  2 Cr 1.83
Os (0.5000, 0.5000, 0.5000)  4 I 2.58

Properties
Formation energy from raw total energies (meV per atom): 198.2
Volume (A^3/atom): 15.7

***

(7)
Cr2PIO4 | PBEsol | relaxed

Cell: 6.2543 6.3862 12.4277 Å, 75.80 90.00 90.00°
Last column: nearest neighbours and their distance in Å.
Atoms (fractional coordinates):
Cr (0.0133, 0.3049, 0.1075)  3 O 2.00-2.09
Cr (0.3495, 0.0597, 0.8984)  4 O 1.93-2.04
Cr (0.9867, 0.6951, 0.8925)  3 O 2.00-2.09
Cr (0.6505, 0.9403, 0.1016)  4 O 1.93-2.04
Cr (0.4867, 0.8049, 0.6075)  3 O 2.00-2.09
Cr (0.8495, 0.4403, 0.6016)  4 O 1.93-2.04
Cr (0.5133, 0.1951, 0.3925)  3 O 2.00-2.09
Cr (0.1505, 0.5597, 0.3984)  4 O 1.93-2.04
O (0.0349, 0.6352, 0.0639)  1 P 1.57
O (0.0347, 0.0047, 0.8923)  1 P 1.57
O (0.3392, 0.9031, 0.0618)  1 P 1.56
O (0.5349, 0.8648, 0.4361)  1 P 1.57
O (0.1608, 0.4031, 0.5618)  1 P 1.56
O (0.4651, 0.1352, 0.5639)  1 P 1.57
O (0.5347, 0.4953, 0.6077)  1 P 1.57
O (0.9653, 0.9953, 0.1077)  1 P 1.57
O (0.8271, 0.2912, 0.7563)  1 P 1.49
O (0.8392, 0.5969, 0.4382)  1 P 1.56
O (0.3271, 0.2088, 0.7437)  1 P 1.49
O (0.6608, 0.0969, 0.9382)  1 P 1.56
O (0.4653, 0.5047, 0.3923)  1 P 1.57
O (0.1729, 0.7088, 0.2437)  1 P 1.49
O (0.6729, 0.7912, 0.2563)  1 P 1.49
O (0.9651, 0.3648, 0.9361)  1 P 1.57
I (0.0271, 0.1640, 0.3388)  3 Cr 2.80-3.13
I (0.9729, 0.8360, 0.6612)  3 Cr 2.80-3.13
I (0.4729, 0.6640, 0.8388)  3 Cr 2.80-3.13
I (0.5271, 0.3360, 0.1612)  3 Cr 2.80-3.13
P (0.8692, 0.1954, 0.8765)  4 O 1.49-1.57
P (0.1308, 0.8046, 0.1235)  4 O 1.49-1.57
P (0.3692, 0.3046, 0.6235)  4 O 1.49-1.57
P (0.6308, 0.6954, 0.3765)  4 O 1.49-1.57

Properties
Formation energy from raw total energies (meV per atom): -1514.2
Volume (A^3/atom): 15.0

***

(8)
CrPdIO2 | PBEsol | relaxed

Cell: 3.8447 3.8447 6.6435 Å, 90.00 90.00 90.00°
Last column: nearest neighbours and their distance in Å.
Atoms (fractional coordinates):
I (0.0000, 0.0000, 0.5000)  4 Cr 2.72
Cr (0.5000, 0.5000, 0.5000)  4 I 2.72
O (0.5000, 0.0000, 0.0000)  2 Pd 1.92
O (0.0000, 0.5000, 0.0000)  2 Pd 1.92
Pd (0.0000, 0.0000, 0.0000)  4 O 1.92

Properties
Formation energy from raw total energies (meV per atom): 313.9
Volume (A^3/atom): 19.6

***

(9)
CrSiIO2 | PBEsol | relaxed

Cell: 3.7787 3.7787 5.6462 Å, 90.00 90.00 90.00°
Last column: nearest neighbours and their distance in Å.
Atoms (fractional coordinates):
Cr (0.0000, 0.0000, 0.0000)  4 O 1.89
O (0.0000, 0.5000, 0.0000)  2 Cr 1.89
O (0.5000, 0.0000, 0.0000)  2 Cr 1.89
I (0.0000, 0.0000, 0.5000)  4 Si 2.67, 2 Cr 2.82
Si (0.5000, 0.5000, 0.5000)  4 I 2.67

Properties
Formation energy from raw total energies (meV per atom): -302.0
Volume (A^3/atom): 16.1

***

(10)
TaCrIO2 | PBEsol | relaxed

Cell: 3.8296 3.8296 5.4452 Å, 90.00 90.00 90.00°
Last column: nearest neighbours and their distance in Å.
Atoms (fractional coordinates):
Ta (0.5000, 0.5000, 0.5000)  4 I 2.71
O (0.5000, 0.0000, 0.0000)  2 Cr 1.91
O (0.0000, 0.5000, 0.0000)  2 Cr 1.91
I (0.0000, 0.0000, 0.5000)  4 Ta 2.71, 2 Cr 2.72
Cr (0.0000, 0.0000, 0.0000)  4 O 1.91

Properties
Formation energy from raw total energies (meV per atom): 126.7
Volume (A^3/atom): 16.0

***

(11)
CrTeIO2 | PBEsol | relaxed

Cell: 3.9333 3.9333 5.8234 Å, 90.00 90.00 90.00°
Last column: nearest neighbours and their distance in Å.
Atoms (fractional coordinates):
O (0.5000, 0.0000, 0.0000)  2 Cr 1.97
O (0.0000, 0.5000, 0.0000)  2 Cr 1.97
Te (0.5000, 0.5000, 0.5000)  4 I 2.78
I (0.0000, 0.0000, 0.5000)  4 Te 2.78, 2 Cr 2.91
Cr (0.0000, 0.0000, 0.0000)  4 O 1.97

Properties
Formation energy from raw total energies (meV per atom): -235.5
Volume (A^3/atom): 18.0

***

(12)
CrTe2IO | PBEsol | relaxed

Cell: 4.3898 4.3898 6.4640 Å, 90.00 90.00 90.00°
Last column: nearest neighbours and their distance in Å.
Atoms (fractional coordinates):
Te (0.5000, 0.0000, 0.0000)  2 O 2.19
Te (0.0000, 0.5000, 0.0000)  2 O 2.19
I (0.0000, 0.0000, 0.5000)  4 Cr 3.10, 2 O 3.23
Cr (0.5000, 0.5000, 0.5000)  4 I 3.10
O (0.0000, 0.0000, 0.0000)  4 Te 2.19

Properties
Formation energy from raw total energies (meV per atom): 331.0
Volume (A^3/atom): 24.9

***

(13)
ThCrI2O10 | PBEsol | relaxed

Cell: 7.3454 9.6126 11.5481 Å, 90.00 90.00 90.00°
Last column: nearest neighbours and their distance in Å.
Atoms (fractional coordinates):
O (0.0701, 0.3451, 0.5486)  1 I 1.88
O (0.5701, 0.1549, 0.4514)  1 I 1.88
O (0.0342, 0.6657, 0.5587)  1 I 1.86
O (0.6327, 0.8647, 0.1579)  1 I 1.85
O (0.2844, 0.6899, 0.3029)  1 I 1.83
O (0.6715, 0.2958, 0.8353)  1 Cr 1.64
O (0.0863, 0.6631, 0.0841)  1 I 1.82
O (0.8674, 0.1353, 0.6579)  1 I 1.85
O (0.2556, 0.9643, 0.0748)  1 Cr 1.63
O (0.4137, 0.3369, 0.5841)  1 I 1.82
O (0.3674, 0.3647, 0.3421)  1 I 1.85
O (0.2156, 0.3101, 0.8029)  1 I 1.83
O (0.1326, 0.6353, 0.8421)  1 I 1.85
O (0.1715, 0.2042, 0.1647)  1 Cr 1.64
O (0.9137, 0.1631, 0.4159)  1 I 1.82
O (0.2444, 0.0357, 0.5748)  1 Cr 1.63
O (0.8712, 0.9034, 0.4857)  1 I 1.82
O (0.8683, 0.4751, 0.7076)  1 Cr 1.66
O (0.7444, 0.4643, 0.4252)  1 Cr 1.63
O (0.9299, 0.8451, 0.9514)  1 I 1.88
O (0.1317, 0.9751, 0.7924)  1 Cr 1.66
O (0.5863, 0.8369, 0.9159)  1 I 1.82
O (0.7156, 0.1899, 0.1971)  1 I 1.83
O (0.6288, 0.0966, 0.9857)  1 I 1.82
O (0.7844, 0.8101, 0.6971)  1 I 1.83
O (0.9913, 0.4711, 0.2536)  1 Cr 1.66
O (0.4658, 0.3343, 0.0587)  1 I 1.86
O (0.3712, 0.5966, 0.5143)  1 I 1.82
O (0.1288, 0.4034, 0.0143)  1 I 1.82
O (0.5087, 0.5289, 0.7536)  1 Cr 1.66
O (0.8285, 0.7042, 0.3353)  1 Cr 1.64
O (0.5342, 0.8343, 0.4413)  1 I 1.86
O (0.4299, 0.6549, 0.0486)  1 I 1.88
O (0.4913, 0.0289, 0.7464)  1 Cr 1.66
O (0.9658, 0.1657, 0.9413)  1 I 1.86
O (0.0087, 0.9711, 0.2464)  1 Cr 1.66
O (0.6317, 0.5249, 0.2076)  1 Cr 1.66
O (0.7556, 0.5357, 0.9252)  1 Cr 1.63
O (0.3285, 0.7958, 0.6647)  1 Cr 1.64
O (0.3683, 0.0249, 0.2924)  1 Cr 1.66
I (0.1619, 0.7641, 0.9594)  3 O 1.82-1.88
I (0.6619, 0.7359, 0.0406)  3 O 1.82-1.88
I (0.1991, 0.2392, 0.9498)  3 O 1.82-1.86
I (0.8009, 0.7392, 0.5502)  3 O 1.82-1.86
I (0.8381, 0.2641, 0.5406)  3 O 1.82-1.88
I (0.6991, 0.2608, 0.0502)  3 O 1.82-1.86
I (0.3009, 0.7608, 0.4498)  3 O 1.82-1.86
I (0.3381, 0.2359, 0.4594)  3 O 1.82-1.88
Th (0.2885, 0.4931, 0.1807)  8 O 2.31-2.56
Th (0.7115, 0.9931, 0.3193)  8 O 2.31-2.56
Th (0.7885, 0.0069, 0.8193)  8 O 2.31-2.56
Th (0.2115, 0.5069, 0.6807)  8 O 2.31-2.56
Cr (0.7004, 0.4610, 0.8037)  4 O 1.63-1.66
Cr (0.7996, 0.5390, 0.3037)  4 O 1.63-1.66
Cr (0.2996, 0.9610, 0.6963)  4 O 1.63-1.66
Cr (0.2004, 0.0390, 0.1963)  4 O 1.63-1.66

Properties
Formation energy from raw total energies (meV per atom): -1509.5
Volume (A^3/atom): 14.6

***

(14)
YCrI2O | PBEsol | relaxed

Cell: 4.1060 6.0360 6.0360 Å, 90.00 90.00 90.00°
Last column: nearest neighbours and their distance in Å.
Atoms (fractional coordinates):
Cr (0.5000, 0.5000, 0.5000)  8 I 3.65
I (0.0000, 0.0000, 0.5000)  2 Y 3.02
I (0.0000, 0.5000, 0.0000)  2 Y 3.02
Y (0.0000, 0.0000, 0.0000)  2 O 2.05
O (0.5000, 0.0000, 0.0000)  2 Y 2.05

Properties
Formation energy from raw total energies (meV per atom): -799.7
Volume (A^3/atom): 29.9

***

(15)
ZrCrI2O | PBEsol | relaxed

Cell: 3.5576 5.5337 5.5337 Å, 90.00 90.00 90.00°
Last column: nearest neighbours and their distance in Å.
Atoms (fractional coordinates):
O (0.5000, 0.0000, 0.0000)  2 Cr 1.78
I (0.0000, 0.0000, 0.5000)  2 Cr 2.77
I (0.0000, 0.5000, 0.0000)  2 Cr 2.77
Cr (0.0000, 0.0000, 0.0000)  2 O 1.78
Zr (0.5000, 0.5000, 0.5000)  8 I 3.29, 2 Zr 3.56

Properties
Formation energy from raw total energies (meV per atom): -351.5
Volume (A^3/atom): 21.8

***

(16)
Cr3OsI | PBEsol | relaxed

Cell: 4.7377 4.7377 4.7377 Å, 90.00 90.00 90.00°
Last column: nearest neighbours and their distance in Å.
Atoms (fractional coordinates):
Os (0.0000, 0.0000, 0.0000)  6 Cr 2.37
I (0.5000, 0.5000, 0.5000)  12 Cr 3.35
Cr (0.0000, 0.0000, 0.5000)  2 Os 2.37
Cr (0.5000, 0.0000, 0.0000)  2 Os 2.37
Cr (0.0000, 0.5000, 0.0000)  2 Os 2.37

Properties
Formation energy from raw total energies (meV per atom): 1384.7
Volume (A^3/atom): 21.3

***

(17)
CrPI2 | PBEsol | relaxed

Cell: 6.4503 6.4503 6.4503 Å, 108.02 108.02 112.42°
Last column: nearest neighbours and their distance in Å.
Atoms (fractional coordinates):
I (0.6250, 0.6440, 0.5190)  2 Cr 2.73, 2 P 2.93
I (0.8940, 0.3750, 0.0190)  2 Cr 2.73, 2 P 2.93
I (0.3560, 0.8750, 0.9810)  2 Cr 2.73, 2 P 2.93
I (0.1250, 0.1060, 0.4810)  2 Cr 2.73, 2 P 2.93
Cr (0.2500, 0.7500, 0.5000)  4 I 2.73
Cr (0.0000, 0.0000, 0.0000)  4 I 2.73
P (0.5000, 0.5000, 0.0000)  4 I 2.93
P (0.7500, 0.2500, 0.5000)  4 I 2.93

Properties
Formation energy from raw total energies (meV per atom): 717.4
Volume (A^3/atom): 25.8

***

(18)
Cr2PSeI | PBEsol | relaxed

Cell: 5.1049 5.1212 5.1212 Å, 90.00 90.00 90.00°
Last column: nearest neighbours and their distance in Å.
Atoms (fractional coordinates):
Cr (0.0000, 0.5000, 0.0000)  2 I 2.56
Cr (0.0000, 0.0000, 0.5000)  2 I 2.56
I (0.0000, 0.0000, 0.0000)  2 P 2.55, 4 Cr 2.56
Se (0.5000, 0.5000, 0.5000)  8 Cr 3.62, 4 P 3.62
P (0.5000, 0.0000, 0.0000)  2 I 2.55

Properties
Formation energy from raw total energies (meV per atom): 1528.3
Volume (A^3/atom): 26.8

***

(19)
CrSbPbI2 | PBEsol | relaxed

Cell: 5.2995 5.3418 5.3418 Å, 90.00 90.00 90.00°
Last column: nearest neighbours and their distance in Å.
Atoms (fractional coordinates):
I (0.0000, 0.5000, 0.0000)  2 Cr 2.67
I (0.0000, 0.0000, 0.5000)  2 Cr 2.67
Cr (0.0000, 0.0000, 0.0000)  2 Sb 2.65, 4 I 2.67
Pb (0.5000, 0.5000, 0.5000)  8 I 3.76, 4 Sb 3.78
Sb (0.5000, 0.0000, 0.0000)  2 Cr 2.65

Properties
Formation energy from raw total energies (meV per atom): 227.3
Volume (A^3/atom): 30.2

***

(20)
SrCrPb2I | PBEsol | relaxed

Cell: 5.0739 6.0384 6.0384 Å, 90.00 90.00 90.00°
Last column: nearest neighbours and their distance in Å.
Atoms (fractional coordinates):
Pb (0.0000, 0.0000, 0.5000)  2 I 3.02
Pb (0.0000, 0.5000, 0.0000)  2 I 3.02
I (0.0000, 0.0000, 0.0000)  2 Cr 2.54
Sr (0.5000, 0.5000, 0.5000)  8 Pb 3.94, 4 Cr 4.27
Cr (0.5000, 0.0000, 0.0000)  2 I 2.54

Properties
Formation energy from raw total energies (meV per atom): 572.1
Volume (A^3/atom): 37.0

***

Number 1: energy -4.2760 eV/atom. Number 2: energy -3.6209 eV/atom. Number 3: energy -5.9948 eV/atom. Number 4: energy -6.7508 eV/atom. Number 5: energy -5.2685 eV/atom. Number 6: energy -6.7465 eV/atom. Number 7: energy -7.6441 eV/atom. Number 8: energy -5.3794 eV/atom. Number 9: energy -5.9529 eV/atom. Number 10: energy -6.8850 eV/atom. Number 11: energy -5.4422 eV/atom. Number 12: energy -4.5311 eV/atom. Number 13: energy -6.8220 eV/atom. Number 14: energy -5.9691 eV/atom. Number 15: energy -5.9745 eV/atom. Number 16: energy -7.5570 eV/atom. Number 17: energy -4.1743 eV/atom. Number 18: energy -4.8502 eV/atom. Number 19: energy -4.2390 eV/atom. Number 20: energy -3.7972 eV/atom.